# Li2Cd2Ga

A relaxed Li2Cd2Ga crystal (GGA-PBE, Alexandria).

a b c (Å): 7.5909 7.5909 3.2977
angles (deg): 90.00 90.00 90.00
Sites, in units of the cell vectors:
Li: 0.1600 0.3400 0.0000
Li: 0.3400 0.8400 0.0000
Li: 0.6600 0.1600 0.0000
Li: 0.8400 0.6600 0.0000
Cd: 0.1393 0.6393 0.5000
Cd: 0.3607 0.1393 0.5000
Cd: 0.6393 0.8607 0.5000
Cd: 0.8607 0.3607 0.5000
Ga: 0.0000 0.0000 0.5000
Ga: 0.5000 0.5000 0.5000

Values from the calculation:
The total energy comes out at -1.88 eV per atom. The formation energy from the elements is -0.14 eV/atom. The value obtained for the calculated volume is 190 Å³ per cell. The relative energy among the computed polymorphs comes out at 78 meV per atom.

=====

# Li6Cd12Ga

A relaxed Li6Cd12Ga crystal (GGA-PBE, Alexandria).

a b c (Å): 7.2172 7.2172 7.2172
angles (deg): 90.38 90.38 90.38
Sites, in units of the cell vectors:
Li: 0.2349 0.7635 0.3908
Li: 0.2365 0.6092 0.7651
Li: 0.3908 0.2349 0.7635
Li: 0.6092 0.7651 0.2365
Li: 0.7635 0.3908 0.2349
Li: 0.7651 0.2365 0.6092
Cd: 0.0281 0.3045 0.9291
Cd: 0.0709 0.9719 0.6955
Cd: 0.1261 0.3474 0.4706
Cd: 0.3045 0.9291 0.0281
Cd: 0.3474 0.4706 0.1261
Cd: 0.4706 0.1261 0.3474
Cd: 0.5294 0.8739 0.6526
Cd: 0.6526 0.5294 0.8739
Cd: 0.6955 0.0709 0.9719
Cd: 0.8739 0.6526 0.5294
Cd: 0.9291 0.0281 0.3045
Cd: 0.9719 0.6955 0.0709
Ga: 0.5000 0.5000 0.5000

Values from the calculation:
The total energy comes out at -1.53 eV per atom. The formation energy from the elements is -0.18 eV/atom. The value obtained for the calculated volume is 376 Å³ per cell.

=====

# Li2CdGa

A relaxed Li2CdGa crystal (GGA-PBE, Alexandria).

a b c (Å): 4.6214 4.6214 3.1685
angles (deg): 90.00 90.00 90.00
Sites, in units of the cell vectors:
Li: 0.0000 0.5000 0.0000
Li: 0.5000 0.0000 0.0000
Cd: 0.0000 0.0000 0.5000
Ga: 0.5000 0.5000 0.5000

Values from the calculation:
The total energy comes out at -2.20 eV per atom. The formation energy from the elements is -0.26 eV/atom. The value obtained for the calculated volume is 68 Å³ per cell.

=====

# Li7Cd2Ga2

A relaxed Li7Cd2Ga2 crystal (GGA-PBE, Alexandria).

a b c (Å): 6.6279 6.6279 4.8451
angles (deg): 105.93 105.93 88.07
Sites, in units of the cell vectors:
Li: 0.0000 0.0000 0.0000
Li: 0.0537 0.5863 0.8175
Li: 0.4137 0.9463 0.1825
Li: 0.4177 0.4177 0.2000
Li: 0.5823 0.5823 0.8000
Li: 0.5863 0.0537 0.8175
Li: 0.9463 0.4137 0.1825
Cd: 0.2051 0.7949 0.5000
Cd: 0.7949 0.2051 0.5000
Ga: 0.2360 0.2360 0.5952
Ga: 0.7640 0.7640 0.4048

Values from the calculation:
The total energy comes out at -2.11 eV per atom. The formation energy from the elements is -0.18 eV/atom. The value obtained for the calculated volume is 197 Å³ per cell.